No. 1
Here is an optimized crystal structure of Zr3BiCl from Alexandria. Energies are from PBE.

Cell lengths 4.853, 4.853, 4.853 Å; angles 90.00, 90.00, 90.00 degrees
Each line ends with the local moment (μB).
Fractional coordinates of all 5 atoms:
Zr 0.000 0.500 0.000  0.25
Zr 0.500 0.000 0.000  0.22
Cl 0.000 0.000 0.000  0.00
Zr 0.000 0.000 0.500  0.16
Bi 0.500 0.500 0.500  -0.01

Properties
* ΔE_f (raw): -0.070 eV per atom
* DOS at the Fermi energy: 4.81 states/eV/cell
* E above lowest polymorph: 0 kJ/mol of formula units
* space group: Pm-3m, No. 221


No. 2
Here is an optimized crystal structure of SmYThIn from Alexandria. Energies are from PBE.

Cell lengths 5.505, 5.505, 5.505 Å; angles 60.00, 60.00, 60.00 degrees
Fractional coordinates of all 4 atoms:
In 0.000 0.000 0.000
Th 0.500 0.500 0.500
Sm 0.750 0.750 0.750
Y 0.250 0.250 0.250

Properties
* energy of formation from the pure elements: -0.04 eV/atom
* DOS at the Fermi energy: 7.52 states/eV/cell
* space group: F-43m, No. 216


No. 3
Here is an optimized crystal structure of Pr2NbCu3Ni12 from Alexandria. Energies are from PBE.

Cell lengths 9.223, 9.223, 9.223 Å; angles 38.60, 38.60, 38.60 degrees
Fractional coordinates of all 18 atoms:
Pr 0.650 0.650 0.650
Ni 0.194 0.580 0.580
Ni 0.420 0.806 0.420
Nb 0.000 0.000 0.000
Ni 0.580 0.194 0.580
Ni 0.806 0.420 0.420
Cu 0.500 0.000 0.000
Cu 0.000 0.000 0.500
Pr 0.350 0.350 0.350
Ni 0.638 0.072 0.072
Cu 0.000 0.500 0.000
Ni 0.928 0.362 0.928
Ni 0.580 0.580 0.194
Ni 0.928 0.928 0.362
Ni 0.362 0.928 0.928
Ni 0.420 0.420 0.806
Ni 0.072 0.072 0.638
Ni 0.072 0.638 0.072

Properties
* energy of formation from the pure elements: 0.24 eV/atom
* DOS at the Fermi energy: 20.50 states/eV/cell
* space group: R-3m, No. 166


No. 4
Here is an optimized crystal structure of Cu2AsPt from Alexandria. Energies are from PBE.

Cell lengths 4.684, 4.684, 4.684 Å; angles 131.18, 131.23, 71.49 degrees
Fractional coordinates of all 4 atoms:
Cu 0.750 0.250 0.500
Pt 0.500 0.500 0.000
As 0.250 0.750 0.500
Cu 0.000 0.000 0.000

Properties
* energy of formation from the pure elements: -0.07 eV/atom
* DOS at the Fermi energy: 1.12 states/eV/cell
* space group: I-4m2, No. 119


No. 5
Here is an optimized crystal structure of Li2IrC from Alexandria. Energies are from PBE.

Cell lengths 3.855, 3.855, 3.855 Å; angles 60.00, 60.00, 60.00 degrees
Fractional coordinates of all 4 atoms:
C 0.000 0.000 0.000
Li 0.250 0.250 0.250
Ir 0.500 0.500 0.500
Li 0.750 0.750 0.750

Properties
* energy of formation from the pure elements: 1.03 eV/atom
* DOS at the Fermi energy: 2.39 states/eV/cell
* E above lowest polymorph: 319 kJ/mol of formula units
* space group: Fm-3m, No. 225


No. 6
Here is an optimized crystal structure of Tb6Tl5H from Alexandria. Energies are from PBE.

Cell lengths 9.265, 6.643, 6.518 Å; angles 59.36, 84.93, 80.00 degrees
Fractional coordinates of all 12 atoms:
Tb 0.261 0.892 0.654
Tb 0.837 0.801 0.000
Tb 0.261 0.546 0.346
Tl 0.500 0.139 0.723
Tb 0.163 0.199 0.000
Tl 0.000 0.711 0.577
Tl 0.000 0.289 0.423
Tb 0.739 0.454 0.654
Tl 0.500 0.500 0.000
Tl 0.500 0.861 0.277
Tb 0.739 0.108 0.346
H 0.000 0.000 0.000

Properties
* DOS at the Fermi energy: 10.56 states/eV/cell
* final energy: -45.09 eV/cell
* space group: C2/m, No. 12